{"formula": "Cu3Os", "functional": "PBE-GGA", "state": "relaxed", "lattice": [[4.7042, 0.0000, 0.0000], [0.0000, 4.7042, 0.0000], [0.0000, 0.0000, 4.7042]], "species": ["Cu", "Cu", "Cu", "Cu", "Cu", "Cu", "Os", "Os"], "frac_coords": [[0.0000, 0.2500, 0.5000], [0.0000, 0.7500, 0.5000], [0.2500, 0.5000, 0.0000], [0.5000, 0.0000, 0.2500], [0.5000, 0.0000, 0.7500], [0.7500, 0.5000, 0.0000], [0.0000, 0.0000, 0.0000], [0.5000, 0.5000, 0.5000]], "n_ef_per_ev_atom": 1.470, "delta_e_f_kj_per_mol_fu": 230, "relative_energy_mev_per_atom": 409, "crystal_system": "cubic"}